No. 1
Computed, not measured: a relaxed structure of SiTcW2 at the PBE level of DFT.

Properties
Formation energy without anion corrections   0.62 eV per atom
Space-group type   I-42d (122)
DFT total energy   -9.804 eV per atom
Crystal system   tetragonal

extended XYZ file:
```
8
Lattice="3.769 0.000 0.000 0.000 3.769 0.000 1.885 1.885 9.192" Properties=species:S:1:pos:R:3 pbc="T T T"
Si 1.885 1.885 0.000
Si 1.885 3.769 4.596
Tc 0.000 0.000 0.000
Tc 3.769 1.885 4.596
W 2.734 0.942 2.298
W 1.035 2.827 2.298
W 2.827 2.920 6.894
W 4.711 4.618 6.894
```

No. 2
Computed, not measured: a relaxed structure of CoOs3Pt at the PBE level of DFT.

Properties
Excess energy over the best structure of this formula in the dataset   0.0 kJ/mol of atoms
Space-group type   Pm-3m (221)
DFT total energy   -7.559 eV per atom
E_form   1.81 eV per atom
Crystal system   cubic

extended XYZ file:
```
5
Lattice="-1.004 0.525 4.207 -3.429 -2.643 -0.489 2.493 -3.424 1.023" Properties=species:S:1:pos:R:3 pbc="T T T"
Co 0.000 0.000 0.000
Os -1.715 -1.321 -0.244
Os 1.246 -1.712 0.511
Os -0.502 0.263 2.103
Pt -0.970 -2.771 2.370
```

No. 3
Computed, not measured: a relaxed structure of FeSeBr2 at the PBE level of DFT.

Properties
Formation energy without anion corrections   0.26 eV per atom
Excess energy over the best structure of this formula in the dataset   43.7 kJ/mol of atoms
Space-group type   R-3m (166)
DFT total energy   -3.567 eV per atom
Crystal system   trigonal

extended XYZ file:
```
4
Lattice="9.412 -0.024 -0.014 8.804 3.326 -0.014 8.804 1.596 2.918" Properties=species:S:1:pos:R:3 pbc="T T T"
Br 26.130 4.737 2.795
Br 14.401 2.611 1.540
Fe 6.755 1.225 0.722
Se 20.265 3.674 2.167
```

No. 4
Computed, not measured: a relaxed structure of SmDyAl4 at the PBE level of DFT.

Properties
Excess energy over the best structure of this formula in the dataset   0.0 kJ/mol of atoms
Space-group type   F-43m (216)
DFT total energy   -4.560 eV per atom
E_form   -0.51 eV per atom
Crystal system   cubic

extended XYZ file:
```
6
Lattice="-1.820 4.858 2.114 -0.021 0.810 5.542 3.630 3.579 2.321" Properties=species:S:1:pos:R:3 pbc="T T T"
Al -0.696 3.990 5.075
Al 1.129 5.374 3.465
Al 1.118 5.778 6.235
Al 2.027 3.351 5.179
Sm 0.000 0.000 0.000
Dy 0.447 2.312 2.494
```

No. 5
Computed, not measured: a relaxed structure of Cs2CdCuBr6 at the PBE level of DFT.

Properties
Formation energy without anion corrections   -1.05 eV per atom
Space-group type   I4/mmm (139)
DFT total energy   -2.728 eV per atom
Crystal system   tetragonal

extended XYZ file:
```
10
Lattice="-4.033 6.468 -1.185 0.402 -1.145 -7.617 -6.782 -0.400 -4.203" Properties=species:S:1:pos:R:3 pbc="T T T"
Cs -6.315 4.365 -4.895
Cs -4.098 0.558 -8.111
Cu -1.815 2.661 -4.401
Br -4.583 0.956 -4.291
Br -5.830 3.967 -8.715
Br -0.996 1.460 -2.415
Br -2.635 3.863 -6.388
Br -2.816 4.379 -2.950
Br -0.814 0.943 -5.853
Cd 0.000 0.000 0.000
```

No. 6
Computed, not measured: a relaxed structure of PmBiF6 at the PBE level of DFT.

Properties
Formation energy without anion corrections   -3.14 eV per atom
Excess energy over the best structure of this formula in the dataset   9.1 kJ/mol of atoms
Space-group type   C2/c (15)
DFT total energy   -5.620 eV per atom
Crystal system   monoclinic

extended XYZ file:
```
16
Lattice="6.515 0.886 0.059 2.665 6.010 0.059 -0.075 -0.056 8.328" Properties=species:S:1:pos:R:3 pbc="T T T"
Pm 2.648 5.994 2.141
Pm 6.457 0.846 6.305
Bi 1.295 2.977 4.194
Bi 3.257 0.443 0.030
F 2.625 3.722 2.533
F 6.481 3.119 5.914
F 4.837 5.384 1.750
F 4.268 1.457 6.697
F 6.529 3.141 2.543
F 2.576 3.699 5.903
F 4.308 1.472 1.739
F 4.798 5.368 6.708
F 0.836 0.950 8.340
F 8.270 5.890 0.106
F 7.922 6.274 4.271
F 1.183 0.566 4.176
```

No. 7
Computed, not measured: a relaxed structure of AlCdSi at the PBE level of DFT.

Properties
Formation energy without anion corrections   0.49 eV per atom
Space-group type   F-43m (216)
DFT total energy   -2.872 eV per atom
Crystal system   cubic

extended XYZ file:
```
3
Lattice="-4.507 -0.149 0.110 -2.159 -3.804 -1.103 -2.101 -2.407 3.185" Properties=species:S:1:pos:R:3 pbc="T T T"
Si 0.000 0.000 0.000
Al -4.383 -3.180 1.096
Cd -6.575 -4.770 1.644
```

No. 8
Computed, not measured: a relaxed structure of Na2HN2 at the PBE level of DFT.

Properties
Space-group type   R-3m (166)
DFT total energy   -4.653 eV per atom
Crystal system   trigonal

extended XYZ file:
```
5
Lattice="3.196 0.000 1.098 1.496 2.913 0.847 -0.755 0.203 7.399" Properties=species:S:1:pos:R:3 pbc="T T T"
Na 1.110 0.821 1.970
Na 2.826 2.295 7.373
H 0.000 0.000 0.000
N 1.778 1.495 5.225
N 2.158 1.621 4.118
```

No. 9
Computed, not measured: a relaxed structure of Rb2LaNCl6 at the PBE level of DFT.

Properties
Formation energy without anion corrections   -1.20 eV per atom
Space-group type   I4/mmm (139)
DFT total energy   -3.825 eV per atom
Crystal system   tetragonal

extended XYZ file:
```
10
Lattice="8.356 0.000 0.000 0.000 8.356 0.000 4.178 4.178 4.547" Properties=species:S:1:pos:R:3 pbc="T T T"
N 4.178 4.178 0.000
Cl 4.178 4.178 1.949
Cl 8.356 8.356 2.598
Cl 1.959 1.959 0.000
Cl 6.397 6.397 0.000
Cl 6.397 1.959 0.000
Cl 1.959 6.397 0.000
Rb 8.356 4.178 2.273
Rb 4.178 8.356 2.273
La 0.000 0.000 0.000
```

No. 10
Computed, not measured: a relaxed structure of Ac3Nd6Y at the PBE level of DFT.

Properties
Space-group type   R-3 (148)
DFT total energy   -4.396 eV per atom
E_form   0.34 eV per atom
Crystal system   trigonal

extended XYZ file:
```
10
Lattice="-1.793 -7.518 6.722 2.435 -9.666 -2.357 4.144 -5.151 3.148" Properties=species:S:1:pos:R:3 pbc="T T T"
Ac 4.162 -10.907 4.519
Ac 1.136 -11.352 3.215
Ac 3.047 -5.312 2.676
Nd 0.679 -13.886 5.483
Nd 2.672 -12.001 0.215
Nd 0.425 -8.114 4.104
Nd 3.753 -8.549 1.782
Nd 1.705 -10.296 7.128
Nd 3.941 -14.331 3.316
Y 2.412 -16.924 5.127
```

No. 11
Computed, not measured: a relaxed structure of KBa2Sr9 at the PBE level of DFT.

Properties
Space-group type   P4/mmm (123)
DFT total energy   -1.641 eV per atom
E_form   0.03 eV per atom
Crystal system   tetragonal

extended XYZ file:
```
12
Lattice="-4.773 0.550 -3.761 -3.224 -3.784 3.539 -6.125 14.468 9.889" Properties=species:S:1:pos:R:3 pbc="T T T"
K 0.000 0.000 0.000
Ba -2.052 4.846 3.312
Ba -4.074 9.621 6.576
Sr -3.998 -1.617 -0.111
Sr -6.037 3.198 3.180
Sr -8.085 8.036 6.487
Sr -3.418 2.711 -0.215
Sr -5.449 7.509 3.064
Sr -7.481 12.306 6.343
Sr -2.643 0.544 3.434
Sr -4.674 5.342 6.714
Sr -6.706 10.140 9.993
```

No. 12
Computed, not measured: a relaxed structure of Na2HfAs2Pd at the PBE level of DFT.

Properties
Space-group type   Pmc2_1 (26)
DFT total energy   -5.158 eV per atom
E_form   -0.64 eV per atom
Crystal system   orthorhombic

extended XYZ file:
```
12
Lattice="3.972 0.000 0.000 0.000 6.775 0.000 0.000 0.000 8.716" Properties=species:S:1:pos:R:3 pbc="T T T"
Na 1.986 0.408 0.522
Na 0.000 2.458 1.497
Na 1.986 3.795 8.194
Na 0.000 5.846 7.219
Hf 0.000 6.473 3.849
Hf 0.000 3.085 4.866
As 0.000 1.928 7.239
As 1.986 1.691 3.450
As 0.000 5.316 1.477
As 1.986 5.078 5.265
Pd 1.986 0.903 5.878
Pd 1.986 4.290 2.837
```

No. 13
Computed, not measured: a relaxed structure of La4TeBr5 at the PBE level of DFT.

Properties
Formation energy without anion corrections   -1.49 eV per atom
Excess energy over the best structure of this formula in the dataset   14.4 kJ/mol of atoms
Space-group type   Pmmn (59)
DFT total energy   -4.611 eV per atom
Crystal system   orthorhombic

extended XYZ file:
```
20
Lattice="7.225 0.000 0.000 0.000 9.425 0.000 0.000 0.000 10.331" Properties=species:S:1:pos:R:3 pbc="T T T"
La 6.366 0.000 7.540
La 3.678 6.434 0.000
La 3.678 2.991 0.000
La 6.366 0.000 2.791
La 0.859 4.713 2.375
La 3.547 7.704 5.166
La 3.547 1.721 5.166
La 0.859 4.713 7.957
Te 4.962 0.000 0.000
Te 2.263 4.713 5.166
Br 1.781 7.562 8.217
Br 1.781 1.863 8.217
Br 6.215 4.713 0.000
Br 1.781 7.562 2.114
Br 1.781 1.863 2.114
Br 5.444 6.576 3.052
Br 5.444 2.849 3.052
Br 1.010 0.000 5.166
Br 5.444 2.849 7.280
Br 5.444 6.576 7.280
```

No. 14
Computed, not measured: a relaxed structure of BeVSiRu2 at the PBE level of DFT.

Properties
Formation energy without anion corrections   0.40 eV per atom
Space-group type   P4/mmm (123)
DFT total energy   -6.966 eV per atom
Crystal system   tetragonal

extended XYZ file:
```
5
Lattice="4.096 0.000 0.000 0.000 4.007 0.000 0.000 0.000 4.096" Properties=species:S:1:pos:R:3 pbc="T T T"
Ru 0.000 0.000 2.048
Ru 2.048 0.000 0.000
Si 2.048 2.004 2.048
Be 0.000 0.000 0.000
V 0.000 2.004 0.000
```

No. 15
Computed, not measured: a relaxed structure of Dy2Er2Sc7 at the PBE level of DFT.

Properties
Excess energy over the best structure of this formula in the dataset   0.0 kJ/mol of atoms
Space-group type   C2/m (12)
DFT total energy   -5.562 eV per atom
E_form   0.13 eV per atom
Crystal system   monoclinic

extended XYZ file:
```
11
Lattice="3.345 -0.263 -0.753 -0.711 9.711 1.315 0.561 2.467 9.495" Properties=species:S:1:pos:R:3 pbc="T T T"
Dy 0.910 9.775 8.517
Dy 2.285 2.140 1.540
Er 1.271 7.815 2.931
Er 1.924 4.100 7.126
Sc 0.180 9.792 5.246
Sc 2.431 5.452 1.052
Sc 3.015 2.123 4.810
Sc 0.765 6.463 9.005
Sc 0.000 0.000 0.000
Sc 1.962 7.326 6.184
Sc 1.234 4.589 3.873
```

No. 16
Computed, not measured: a relaxed structure of BaIn4Ag2Pd at the PBE level of DFT.

Properties
Space-group type   R-3m (166)
DFT total energy   -3.255 eV per atom
E_form   -0.28 eV per atom
Crystal system   trigonal

extended XYZ file:
```
8
Lattice="-4.542 -1.231 0.600 -2.678 -1.092 -3.760 0.394 -10.678 -0.171" Properties=species:S:1:pos:R:3 pbc="T T T"
Ba 0.000 0.000 0.000
In -2.629 -9.274 -1.419
In -6.087 -6.327 -2.804
In -0.738 -6.674 -0.528
In -4.197 -3.727 -1.913
Ag -5.242 -9.317 -2.537
Ag -1.584 -3.684 -0.794
Pd -3.413 -6.501 -1.666
```

No. 17
Computed, not measured: a relaxed structure of La2AgPbO5 at the PBE level of DFT.

Properties
Formation energy without anion corrections   -1.86 eV per atom
Space-group type   P4/mbm (127)
DFT total energy   -6.434 eV per atom
Crystal system   tetragonal

extended XYZ file:
```
18
Lattice="-2.685 4.324 3.991 -0.389 -4.840 4.982 6.317 1.828 2.269" Properties=species:S:1:pos:R:3 pbc="T T T"
La -0.477 -0.797 5.783
La 0.617 1.884 3.615
La 2.626 -0.572 7.627
La 3.720 2.108 5.459
Ag 2.964 -1.506 3.626
Ag 0.000 0.000 0.000
Pb 3.158 0.914 1.135
Pb -0.194 -2.420 2.491
O 1.621 0.656 5.621
O -1.343 2.162 1.995
O 3.306 1.620 3.235
O 1.205 -2.350 6.123
O 0.065 -0.316 3.152
O 4.446 -0.414 6.205
O 2.038 3.662 5.119
O 3.178 1.628 8.090
O -0.063 -0.308 8.007
O -1.203 1.726 5.037
```

No. 18
Computed, not measured: a relaxed structure of La3AlAg2 at the PBE level of DFT.

Properties
Excess energy over the best structure of this formula in the dataset   1.5 kJ/mol of atoms
Space-group type   P-3m1 (164)
DFT total energy   -4.320 eV per atom
E_form   -0.28 eV per atom
Crystal system   trigonal

extended XYZ file:
```
12
Lattice="5.410 0.000 0.000 -2.705 4.685 0.000 0.000 0.000 13.282" Properties=species:S:1:pos:R:3 pbc="T T T"
La 0.000 3.124 5.572
La 2.705 1.562 1.090
La 0.000 0.000 9.959
La 0.000 0.000 3.323
La 0.000 3.124 12.192
La 2.705 1.562 7.710
Al 0.000 3.124 8.887
Al 2.705 1.562 4.395
Ag 0.000 0.000 6.641
Ag 0.000 3.124 2.308
Ag 2.705 1.562 10.975
Ag 0.000 0.000 0.000
```

No. 19
Computed, not measured: a relaxed structure of Pr3Nd3SmTe8 at the PBE level of DFT.

Properties
Formation energy without anion corrections   -1.46 eV per atom
Space-group type   R-3m (166)
DFT total energy   -5.362 eV per atom
Crystal system   trigonal

extended XYZ file:
```
15
Lattice="8.984 0.000 0.000 -4.492 7.782 -0.027 0.000 -5.163 7.367" Properties=species:S:1:pos:R:3 pbc="T T T"
Pr 0.000 0.000 0.000
Pr -2.246 3.891 -0.013
Pr 2.246 3.891 -0.013
Nd 4.492 -2.582 3.684
Nd 2.246 1.310 3.670
Nd -2.246 1.310 3.670
Sm 0.000 -2.582 3.684
Te 0.000 2.601 1.846
Te 4.492 0.019 5.494
Te 4.492 2.563 1.821
Te 0.000 0.056 5.520
Te 6.706 -1.273 1.833
Te -2.214 3.892 5.507
Te 2.278 -1.273 1.833
Te 2.214 3.892 5.507
```

No. 20
Computed, not measured: a relaxed structure of BaIn3Au at the PBE level of DFT.

Properties
Space-group type   Pm-3m (221)
DFT total energy   -2.852 eV per atom
E_form   -0.17 eV per atom
Crystal system   cubic

extended XYZ file:
```
5
Lattice="5.463 0.000 0.000 0.000 5.463 0.000 0.000 0.000 5.463" Properties=species:S:1:pos:R:3 pbc="T T T"
Au 0.000 0.000 0.000
Ba 2.731 2.731 2.731
In 0.000 2.731 0.000
In 0.000 0.000 2.731
In 2.731 0.000 0.000
```